A plane-wave DFT calculation with PBE was carried out for a relaxed BaCdHg2Pt crystal.

## Properties
As for the crystal system: tetragonal. Its magnetic moment is 0.00 μB/f.u. The total energy comes out at -1.993 eV per atom. For the energy of formation from the pure elements, the calculation gives -0.10 eV/atom.

Geometry as CIF:
```
data_BaCdHg2Pt
_chemical_formula_sum 'Ba1 Cd1 Hg2 Pt1'
_space_group_name_H-M_alt 'P 4/m m m'
_space_group_IT_number 123
_space_group_name_Hall '-P 4 2'
_cell_length_a 5.384
_cell_length_b 5.384
_cell_length_c 5.345
_cell_angle_alpha 90.00
_cell_angle_beta 90.00
_cell_angle_gamma 90.00
loop_
_atom_site_label
_atom_site_fract_x
_atom_site_fract_y
_atom_site_fract_z
Ba1 0.000 0.000 0.000
Cd1 0.500 0.500 0.500
Hg1 0.000 0.500 0.500
Pt1 0.500 0.500 0.000
```